VASP calculation (PBE) on a relaxed ZnSbTe2 crystal.

It has space group Immm (No. 71), with a = 3.9790 Å, b = 4.8405 Å, c = 12.0807 Å, α = 90.00°, β = 90.00° and γ = 90.00°. The distinct sites, in fractional coordinates, are Zn at (0.0000, 0.0000, 0.0000), Sb at (0.0000, 0.0000, 0.5000) and Te at (0.0000, 0.5000, 0.3350).

The calculation puts the formation energy without anion corrections at 0.03 eV per atom.